VCd3Si: relaxed, GGA-PBE.

**Offset from the most stable computed form**: 0.233 eV/atom
**E_form (uncorrected)**: 1.1462 eV per atom
**Raw total energy**: -2.311 eV per atom

Cell and atoms, written as CIF:
```
data_VCd3Si
_cell_length_a 5.231
_cell_length_b 5.231
_cell_length_c 5.231
_cell_angle_alpha 90.00
_cell_angle_beta 90.00
_cell_angle_gamma 90.00
_symmetry_space_group_name_H-M 'P 1'
_symmetry_Int_Tables_number 1
loop_
_symmetry_equiv_pos_as_xyz
'x,y,z'
loop_
_atom_site_label
_atom_site_fract_x
_atom_site_fract_y
_atom_site_fract_z
Cd1 0.000 0.500 0.000
Cd2 0.000 0.000 0.500
Cd3 0.500 0.000 0.000
V1 0.000 0.000 0.000
Si1 0.500 0.500 0.500
```

***

VCdSi2: relaxed, GGA-PBE.

**Offset from the most stable computed form**: 0.000 eV/atom
**E_form (uncorrected)**: 0.4936 eV per atom
**Raw total energy**: -4.726 eV per atom

Cell and atoms, written as CIF:
```
data_VCdSi2
_cell_length_a 4.562
_cell_length_b 4.562
_cell_length_c 4.562
_cell_angle_alpha 60.00
_cell_angle_beta 60.00
_cell_angle_gamma 60.00
_symmetry_space_group_name_H-M 'P 1'
_symmetry_Int_Tables_number 1
loop_
_symmetry_equiv_pos_as_xyz
'x,y,z'
loop_
_atom_site_label
_atom_site_fract_x
_atom_site_fract_y
_atom_site_fract_z
V1 0.000 0.000 0.000
Cd1 0.500 0.500 0.500
Si1 0.250 0.250 0.250
Si2 0.750 0.750 0.750
```

***

Cd2SiW: relaxed, GGA-PBE.

**E_form (uncorrected)**: 0.3848 eV per atom
**Raw total energy**: -4.667 eV per atom

Cell and atoms, written as CIF:
```
data_Cd2SiW
_cell_length_a 2.850
_cell_length_b 2.850
_cell_length_c 9.699
_cell_angle_alpha 90.00
_cell_angle_beta 90.00
_cell_angle_gamma 106.14
_symmetry_space_group_name_H-M 'P 1'
_symmetry_Int_Tables_number 1
loop_
_symmetry_equiv_pos_as_xyz
'x,y,z'
loop_
_atom_site_label
_atom_site_fract_x
_atom_site_fract_y
_atom_site_fract_z
Cd1 0.000 0.000 0.975
Cd2 0.500 0.500 0.261
W1 0.500 0.500 0.728
Si1 0.000 0.000 0.536
```

***

Cd2SiW: relaxed, GGA-PBE.

**E_form (uncorrected)**: 0.7821 eV per atom
**Raw total energy**: -4.269 eV per atom

Cell and atoms, written as CIF:
```
data_Cd2SiW
_cell_length_a 4.642
_cell_length_b 4.642
_cell_length_c 4.642
_cell_angle_alpha 60.00
_cell_angle_beta 60.00
_cell_angle_gamma 60.00
_symmetry_space_group_name_H-M 'P 1'
_symmetry_Int_Tables_number 1
loop_
_symmetry_equiv_pos_as_xyz
'x,y,z'
loop_
_atom_site_label
_atom_site_fract_x
_atom_site_fract_y
_atom_site_fract_z
Si1 0.500 0.500 0.500
W1 0.750 0.750 0.750
Cd1 0.250 0.250 0.250
Cd2 0.000 0.000 0.000
```

***

Cd2SiW: relaxed, GGA-PBE.

**E_form (uncorrected)**: 0.5245 eV per atom
**Raw total energy**: -4.527 eV per atom

Cell and atoms, written as CIF:
```
data_Cd2SiW
_cell_length_a 5.414
_cell_length_b 2.776
_cell_length_c 4.789
_cell_angle_alpha 89.17
_cell_angle_beta 90.00
_cell_angle_gamma 90.00
_symmetry_space_group_name_H-M 'P 1'
_symmetry_Int_Tables_number 1
loop_
_symmetry_equiv_pos_as_xyz
'x,y,z'
loop_
_atom_site_label
_atom_site_fract_x
_atom_site_fract_y
_atom_site_fract_z
Si1 0.500 0.250 0.250
Cd1 0.000 0.012 0.999
Cd2 0.000 0.488 0.501
W1 0.500 0.750 0.750
```

***

Cd2SiW: relaxed, GGA-PBE.

**E_form (uncorrected)**: 0.4578 eV per atom
**Raw total energy**: -4.594 eV per atom

Cell and atoms, written as CIF:
```
data_Cd2SiW
_cell_length_a 2.853
_cell_length_b 2.853
_cell_length_c 9.146
_cell_angle_alpha 90.00
_cell_angle_beta 90.00
_cell_angle_gamma 90.00
_symmetry_space_group_name_H-M 'P 1'
_symmetry_Int_Tables_number 1
loop_
_symmetry_equiv_pos_as_xyz
'x,y,z'
loop_
_atom_site_label
_atom_site_fract_x
_atom_site_fract_y
_atom_site_fract_z
Cd1 0.500 0.500 0.256
Cd2 0.000 0.000 0.979
Si1 0.000 0.000 0.533
W1 0.500 0.500 0.732
```

***

Cd2SiW: relaxed, GGA-PBE.

**E_form (uncorrected)**: 0.6101 eV per atom
**Raw total energy**: -4.441 eV per atom

Cell and atoms, written as CIF:
```
data_Cd2SiW
_cell_length_a 10.683
_cell_length_b 10.683
_cell_length_c 10.683
_cell_angle_alpha 15.44
_cell_angle_beta 15.44
_cell_angle_gamma 15.44
_symmetry_space_group_name_H-M 'P 1'
_symmetry_Int_Tables_number 1
loop_
_symmetry_equiv_pos_as_xyz
'x,y,z'
loop_
_atom_site_label
_atom_site_fract_x
_atom_site_fract_y
_atom_site_fract_z
Si1 0.250 0.250 0.250
Cd1 0.004 0.004 0.004
Cd2 0.496 0.496 0.496
W1 0.750 0.750 0.750
```

***

Cd2SiW: relaxed, GGA-PBE.

**E_form (uncorrected)**: 0.7159 eV per atom
**Raw total energy**: -4.336 eV per atom

Cell and atoms, written as CIF:
```
data_Cd2SiW
_cell_length_a 3.730
_cell_length_b 3.730
_cell_length_c 5.306
_cell_angle_alpha 90.00
_cell_angle_beta 90.00
_cell_angle_gamma 90.00
_symmetry_space_group_name_H-M 'P 1'
_symmetry_Int_Tables_number 1
loop_
_symmetry_equiv_pos_as_xyz
'x,y,z'
loop_
_atom_site_label
_atom_site_fract_x
_atom_site_fract_y
_atom_site_fract_z
Cd1 0.000 0.000 0.998
Cd2 0.000 0.000 0.502
Si1 0.500 0.500 0.250
W1 0.500 0.500 0.750
```

***

Cd2SiW: relaxed, GGA-PBE.

**E_form (uncorrected)**: 0.5328 eV per atom
**Raw total energy**: -4.519 eV per atom

Cell and atoms, written as CIF:
```
data_Cd2SiW
_cell_length_a 5.564
_cell_length_b 5.564
_cell_length_c 5.564
_cell_angle_alpha 140.06
_cell_angle_beta 140.06
_cell_angle_gamma 57.76
_symmetry_space_group_name_H-M 'P 1'
_symmetry_Int_Tables_number 1
loop_
_symmetry_equiv_pos_as_xyz
'x,y,z'
loop_
_atom_site_label
_atom_site_fract_x
_atom_site_fract_y
_atom_site_fract_z
Si1 0.250 0.750 0.500
Cd1 0.500 0.500 0.000
Cd2 0.000 0.000 0.000
W1 0.750 0.250 0.500
```

***

Cd2SiW: relaxed, GGA-PBE.

**E_form (uncorrected)**: 0.8738 eV per atom
**Raw total energy**: -4.178 eV per atom

Cell and atoms, written as CIF:
```
data_Cd2SiW
_cell_length_a 7.710
_cell_length_b 7.710
_cell_length_c 6.034
_cell_angle_alpha 50.29
_cell_angle_beta 50.29
_cell_angle_gamma 90.00
_symmetry_space_group_name_H-M 'P 1'
_symmetry_Int_Tables_number 1
loop_
_symmetry_equiv_pos_as_xyz
'x,y,z'
loop_
_atom_site_label
_atom_site_fract_x
_atom_site_fract_y
_atom_site_fract_z
W1 0.750 0.250 0.500
W2 0.000 0.000 0.000
Cd1 0.375 0.400 0.750
Cd2 0.600 0.125 0.250
Cd3 0.875 0.850 0.750
Cd4 0.150 0.625 0.250
Si1 0.500 0.500 0.000
Si2 0.250 0.750 0.500
```

***

Cd2SiW: relaxed, GGA-PBE.

**E_form (uncorrected)**: 0.7871 eV per atom
**Raw total energy**: -4.264 eV per atom

Cell and atoms, written as CIF:
```
data_Cd2SiW
_cell_length_a 5.169
_cell_length_b 5.169
_cell_length_c 2.810
_cell_angle_alpha 90.00
_cell_angle_beta 90.00
_cell_angle_gamma 90.00
_symmetry_space_group_name_H-M 'P 1'
_symmetry_Int_Tables_number 1
loop_
_symmetry_equiv_pos_as_xyz
'x,y,z'
loop_
_atom_site_label
_atom_site_fract_x
_atom_site_fract_y
_atom_site_fract_z
W1 0.000 0.500 0.500
Si1 0.500 0.000 0.500
Cd1 0.000 0.000 0.000
Cd2 0.500 0.500 0.000
```

***

Cd2SiW: relaxed, GGA-PBE.

**E_form (uncorrected)**: 0.6311 eV per atom
**Raw total energy**: -4.420 eV per atom

Cell and atoms, written as CIF:
```
data_Cd2SiW
_cell_length_a 2.802
_cell_length_b 2.802
_cell_length_c 9.587
_cell_angle_alpha 90.00
_cell_angle_beta 90.00
_cell_angle_gamma 92.40
_symmetry_space_group_name_H-M 'P 1'
_symmetry_Int_Tables_number 1
loop_
_symmetry_equiv_pos_as_xyz
'x,y,z'
loop_
_atom_site_label
_atom_site_fract_x
_atom_site_fract_y
_atom_site_fract_z
Cd1 0.000 0.000 0.987
Cd2 0.000 0.000 0.513
Si1 0.500 0.500 0.250
W1 0.500 0.500 0.750
```

***

M_tot readings, ordered: 0.59; 0.69; 0.00; 0.00; 0.00; 0.00; 0.00; 0.00; 0.00; 0.00; 0.00; 0.00 μB/atom